# CaEu2Au

CaEu2Au after structural relaxation (GGA-PBE, the Alexandria database).

Results
* DFT formation energy: -5.0 kcal/mol of atoms

Cell and atoms, written as CIF:
```
data_CaEu2Au
_chemical_formula_sum 'Ca1 Eu2 Au1'
_space_group_name_H-M_alt 'P 1'
_space_group_IT_number 1
_cell_length_a 11.544
_cell_length_b 11.544
_cell_length_c 11.544
_cell_angle_alpha 20.22
_cell_angle_beta 20.22
_cell_angle_gamma 20.22
loop_
_space_group_symop_operation_xyz
'x,y,z'
loop_
_atom_site_label
_atom_site_type_symbol
_atom_site_fract_x
_atom_site_fract_y
_atom_site_fract_z
Ca1 Ca 0.000 0.000 0.000
Eu1 Eu 0.110 0.110 0.110
Eu2 Eu 0.890 0.890 0.890
Au1 Au 0.500 0.500 0.500
```

---

# VSbW3

VSbW3 after structural relaxation (GGA-PBE, the Alexandria database).

Results
* uncorrected formation energy: 254.5 kJ per mole of atoms

Cell and atoms, written as CIF:
```
data_VSbW3
_chemical_formula_sum 'V1 Sb1 W3'
_space_group_name_H-M_alt 'P 1'
_space_group_IT_number 1
_cell_length_a 4.855
_cell_length_b 4.855
_cell_length_c 4.855
_cell_angle_alpha 90.00
_cell_angle_beta 90.00
_cell_angle_gamma 90.00
loop_
_space_group_symop_operation_xyz
'x,y,z'
loop_
_atom_site_label
_atom_site_type_symbol
_atom_site_fract_x
_atom_site_fract_y
_atom_site_fract_z
V1 V 0.000 0.000 0.000
Sb1 Sb 0.500 0.500 0.500
W1 W 0.000 0.500 0.500
W2 W 0.500 0.000 0.500
W3 W 0.500 0.500 0.000
```

---

Results for calculated volume: 40.2, 22.9 (in A^3/atom, following the order of the records).
Results for E: -0.2453, -0.2860 (in hartree per atom, following the order of the records).
Results for total magnetization: 14.89, 1.92 (in μB/cell, following the order of the records).